No. 1
# CuAgIr

A relaxed structure of CuAgIr (PBE-GGA, Alexandria via LeMat-Bulk).

Lattice parameters (Å, degrees): 2.7482 2.7482 6.7906 90.00 90.00 120.00
Space group P3m1 (No. 156)
Inequivalent atoms, fractional coordinates:
Cu (0.0000, 0.0000, 0.0000)
Ag (0.3333, 0.6667, 0.6691)
Ir (0.6667, 0.3333, 0.3080)

Properties
- Excess energy over the best structure of this formula in the dataset: 116.9 meV/atom
- Fermi-level density of states: 3.54 states/eV/cell
- Energy of formation: 19.42 kJ per mole of atoms


No. 2
# NdTmGa2

A relaxed structure of NdTmGa2 (PBE-GGA, Alexandria via LeMat-Bulk).

Lattice parameters (Å, degrees): 4.094 4.395 11.043 90.00 90.00 90.00
Space group Amm2 (No. 38)
Inequivalent atoms, fractional coordinates:
Nd (0.000, 0.000, 0.000)
Tm (0.500, 0.000, 0.722)
Ga (0.000, 0.000, 0.281)
Ga (0.500, 0.000, 0.430)

Properties
- Excess energy over the best structure of this formula in the dataset: 0.0 meV/atom
- Fermi-level density of states: 5.92 states/eV/cell
- Energy of formation: -57.68 kJ per mole of atoms


No. 3
# CoCuHgOsRu

A relaxed structure of CoCuHgOsRu (PBE-GGA, Alexandria via LeMat-Bulk).

Lattice parameters (Å, degrees): 2.768 3.717 14.115 90.00 90.00 90.00
Space group Imm2 (No. 44)
Inequivalent atoms, fractional coordinates:
Co (0.000, 0.000, 0.000)
Cu (0.000, 0.000, 0.223)
Hg (0.000, 0.000, 0.614)
Os (0.000, 0.000, 0.410)
Ru (0.000, 0.000, 0.823)

Properties
- Excess energy over the best structure of this formula in the dataset: 29.7 meV/atom
- Fermi-level density of states: 9.87 states/eV/cell
- Energy of formation: 29.63 kJ per mole of atoms


No. 4
# NbZnAu

A relaxed structure of NbZnAu (PBE-GGA, Alexandria via LeMat-Bulk).

Lattice parameters (Å, degrees): 2.855 2.856 12.519 90.00 90.32 90.00
Space group P2_1/m (No. 11)
Inequivalent atoms, fractional coordinates:
Nb (0.245, 0.250, 0.409)
Zn (0.245, 0.250, 0.076)
Au (0.260, 0.250, 0.764)

Properties
- Fermi-level density of states: 2.41 states/eV/cell
- Energy of formation: -11.59 kJ per mole of atoms